1.
Material: TeP2BrCl
Method: DFT, PBE-GGA
State: relaxed

extended XYZ file:
```
5
Lattice="-3.607 0.089 3.879 2.757 -3.668 2.648 2.681 3.754 2.408" Properties=species:S:1:pos:R:3 pbc="T T T"
P 1.378 -1.834 1.324
P -1.804 0.044 1.939
Cl 1.340 1.877 1.204
Te 0.000 0.000 0.000
Br 0.915 0.087 4.467
```

Properties
Size of the total moment, μB/atom: 0.46
Energy above the lowest structure with this stoichiometry, meV/atom: 0
V, Å³/f.u.: 146.0



2.
Material: Zn3AsPt
Method: DFT, PBE-GGA
State: relaxed

extended XYZ file:
```
5
Lattice="-1.766 -3.757 -2.213 0.351 -2.502 3.968 -4.346 1.325 1.219" Properties=species:S:1:pos:R:3 pbc="T T T"
Pt -2.881 -2.467 1.487
Zn 0.175 -1.251 1.984
Zn -0.883 -1.879 -1.106
Zn -2.173 0.662 0.610
As 0.000 0.000 0.000
```

Properties
Size of the total moment, μB/atom: 0.00
Energy above the lowest structure with this stoichiometry, meV/atom: 342
V, Å³/f.u.: 104.1
Formation energy from the elements, kcal/mol of atoms: 13.35



3.
Material: RbYCd2
Method: DFT, PBE-GGA
State: relaxed

extended XYZ file:
```
8
Lattice="8.894 0.000 0.000 0.000 8.894 0.000 4.447 4.447 3.779" Properties=species:S:1:pos:R:3 pbc="T T T"
Y 8.894 4.447 1.890
Y 0.000 0.000 0.000
Cd 6.670 6.348 2.834
Cd 11.117 11.440 2.834
Cd 1.901 6.670 0.945
Cd 6.993 2.223 0.945
Rb 4.447 4.447 0.000
Rb 4.447 8.894 1.890
```

Properties
Size of the total moment, μB/atom: 0.00
Energy above the lowest structure with this stoichiometry, meV/atom: 406
V, Å³/f.u.: 149.5
Formation energy from the elements, kcal/mol of atoms: 7.38



4.
Material: Ca4YMn
Method: DFT, PBE-GGA
State: relaxed

extended XYZ file:
```
6
Lattice="0.932 4.621 4.880 -3.867 -0.126 5.574 2.686 -1.845 5.952" Properties=species:S:1:pos:R:3 pbc="T T T"
Ca -0.093 0.994 6.153
Ca 0.372 3.304 8.592
Ca -2.026 0.932 8.939
Ca 1.249 0.072 9.127
Mn -0.187 1.988 12.304
Y 0.000 0.000 0.000
```

Properties
Size of the total moment, μB/atom: 0.65
V, Å³/f.u.: 220.9
Formation energy from the elements, kcal/mol of atoms: 14.40



5.
Material: DyGa4PdPt2
Method: DFT, PBE-GGA
State: relaxed

extended XYZ file:
```
8
Lattice="-2.603 -3.374 0.606 -0.338 -3.030 -3.038 5.519 -6.497 2.818" Properties=species:S:1:pos:R:3 pbc="T T T"
Pd 1.289 -6.450 0.193
Dy 0.000 0.000 0.000
Ga -0.728 -5.097 -0.933
Ga 2.962 -4.781 1.391
Ga 3.306 -7.804 1.320
Ga -0.384 -8.120 -1.004
Pt 0.759 -3.302 0.161
Pt 1.820 -9.599 0.226
```

Properties
Size of the total moment, μB/atom: 0.00
V, Å³/f.u.: 138.4
Formation energy from the elements, kcal/mol of atoms: -16.08



6.
Material: Pm3SmDy2
Method: DFT, PBE-GGA
State: relaxed

extended XYZ file:
```
12
Lattice="-3.935 4.670 3.849 -0.938 -4.388 4.347 9.273 0.291 2.326" Properties=species:S:1:pos:R:3 pbc="T T T"
Sm 8.544 -0.219 3.896
Sm -4.144 0.793 6.625
Dy 4.963 -0.665 4.165
Dy -0.562 1.238 6.356
Dy 3.514 -1.696 7.297
Dy 0.886 2.269 3.225
Pm 1.405 -1.095 4.441
Pm 7.093 -1.246 7.031
Pm 2.995 1.668 6.081
Pm 2.861 -0.071 1.303
Pm 1.539 0.645 9.219
Pm -2.692 1.820 3.491
```

Properties
Size of the total moment, μB/atom: 0.00
Energy above the lowest structure with this stoichiometry, meV/atom: 0
V, Å³/f.u.: 199.6
Formation energy from the elements, kcal/mol of atoms: 0.35



7.
Material: CsNaThS3
Method: DFT, PBE-GGA
State: relaxed

extended XYZ file:
```
12
Lattice="4.306 0.000 0.000 0.000 11.410 0.329 0.000 -2.771 8.234" Properties=species:S:1:pos:R:3 pbc="T T T"
Na 3.230 9.846 3.134
Na 1.077 -1.206 5.430
S 3.230 0.453 4.753
S 1.077 -0.204 8.008
S 1.077 3.269 6.857
S 3.230 5.371 1.706
S 3.230 8.844 0.555
S 1.077 8.186 3.810
Cs 1.077 2.630 3.157
Cs 3.230 6.009 5.406
Th 3.230 1.374 7.306
Th 1.077 7.265 1.258
```

Properties
Size of the total moment, μB/atom: 0.00
V, Å³/f.u.: 204.3
Electronic total energy, eV/atom: -5.2754



8.
Material: TmInGaHg
Method: DFT, PBE-GGA
State: relaxed

extended XYZ file:
```
4
Lattice="-4.069 2.888 -0.942 -3.436 0.814 3.650 -0.403 4.592 2.130" Properties=species:S:1:pos:R:3 pbc="T T T"
Hg -5.931 6.220 3.628
Tm 0.000 0.000 0.000
Ga -1.977 2.073 1.209
In -3.954 4.147 2.419
```

Properties
Size of the total moment, μB/atom: 0.00
Energy above the lowest structure with this stoichiometry, meV/atom: 138
V, Å³/f.u.: 92.6
Formation energy from the elements, kcal/mol of atoms: -5.17